First-principles (PBE) data for Pm5Te4P after structural relaxation, as listed in Alexandria.

Computed properties:
Crystal system: tetragonal
Total magnetization, μB/atom: 0.00
Volume, A^3/atom: 30.3
Electronic total energy, eV per atom: -5.632

a b c (Å): 4.356 4.356 16.252
angles (deg): 97.70 97.70 90.00
Atoms (fractional coordinates):
Te1 0.191 0.191 0.383
Pm1 0.500 0.500 0.000
Pm2 0.914 0.914 0.828
Te2 0.398 0.398 0.795
Pm3 0.086 0.086 0.172
P1 0.000 0.000 0.000
Te3 0.602 0.602 0.205
Pm4 0.709 0.709 0.419
Pm5 0.291 0.291 0.581
Te4 0.809 0.809 0.617